1.
# KPS3 (PBE, relaxed)
data_KPS3
_space_group_name_H-M_alt 'P m -3 m'
_space_group_IT_number 221
_space_group_name_Hall '-P 4 2 3'
_cell_length_a 4.7011
_cell_length_b 4.7011
_cell_length_c 4.7011
_cell_angle_alpha 90.00
_cell_angle_beta 90.00
_cell_angle_gamma 90.00
loop_
_atom_site_label
_atom_site_type_symbol
_atom_site_fract_x
_atom_site_fract_y
_atom_site_fract_z
K1 K 0.0000 0.0000 0.0000
P1 P 0.5000 0.5000 0.5000
S1 S 0.0000 0.5000 0.5000
# final energy: -3.8598 eV per atom
# total moment: 0.00 Bohr magnetons per cell
# volume: 104 Å³/cell

2.
# K3P5S12 (PBE, relaxed)
data_K3P5S12
_space_group_name_H-M_alt 'I a -3 d'
_space_group_IT_number 230
_space_group_name_Hall '-I 4bd 2c 3'
_cell_length_a 15.3090
_cell_length_b 15.3090
_cell_length_c 15.3090
_cell_angle_alpha 90.00
_cell_angle_beta 90.00
_cell_angle_gamma 90.00
loop_
_atom_site_label
_atom_site_type_symbol
_atom_site_fract_x
_atom_site_fract_y
_atom_site_fract_z
K1 K 0.0000 0.2500 0.1250
P1 P 0.0000 0.0000 0.0000
P2 P 0.0000 0.2500 0.3750
S1 S 0.0432 0.0494 0.6522
# final energy: -4.2637 eV per atom
# total moment: 0.00 Bohr magnetons per cell
# volume: 3588 Å³/cell

3.
# KPS2 (PBE, relaxed)
data_KPS2
_space_group_name_H-M_alt 'P 1'
_space_group_IT_number 1
_cell_length_a 6.5788
_cell_length_b 6.6244
_cell_length_c 6.9910
_cell_angle_alpha 72.29
_cell_angle_beta 64.65
_cell_angle_gamma 84.74
loop_
_space_group_symop_operation_xyz
'x,y,z'
loop_
_atom_site_label
_atom_site_type_symbol
_atom_site_fract_x
_atom_site_fract_y
_atom_site_fract_z
K1 K 0.0000 0.0000 0.0000
K2 K 0.4987 0.4786 0.0681
P1 P 0.5901 0.1761 0.6136
P2 P 0.8754 0.4160 0.4335
S1 S 0.4890 0.0385 0.4512
S2 S 0.5112 0.4995 0.5781
S3 S 0.5358 0.0165 0.9285
S4 S 0.9867 0.4721 0.1006
# final energy: -4.3751 eV per atom
# total moment: 0.00 Bohr magnetons per cell
# volume: 262 Å³/cell

4.
# KPS (PBE, relaxed)
data_KPS
_space_group_name_H-M_alt 'C 1 2/m 1'
_space_group_IT_number 12
_cell_length_a 15.8699
_cell_length_b 4.7626
_cell_length_c 4.4860
_cell_angle_alpha 90.00
_cell_angle_beta 90.52
_cell_angle_gamma 90.00
loop_
_space_group_symop_operation_xyz
'x,y,z'
'-x,-y,-z'
'-x,y,-z'
'x,-y,z'
'x+1/2,y+1/2,z'
'-x+1/2,-y+1/2,-z'
'-x+1/2,y+1/2,-z'
'x+1/2,-y+1/2,z'
loop_
_atom_site_label
_atom_site_type_symbol
_atom_site_fract_x
_atom_site_fract_y
_atom_site_fract_z
K1 K 0.1426 0.0000 0.2547
P1 P 0.0170 0.5000 0.7505
S1 S 0.1474 0.5000 0.7553
# final energy: -4.2050 eV per atom
# total moment: 0.00 Bohr magnetons per cell
# volume: 339 Å³/cell

5.
# KPS3 (PBE, relaxed)
data_KPS3
_space_group_name_H-M_alt 'P m -3 m'
_space_group_IT_number 221
_space_group_name_Hall '-P 4 2 3'
_cell_length_a 5.9544
_cell_length_b 5.9544
_cell_length_c 5.9544
_cell_angle_alpha 90.00
_cell_angle_beta 90.00
_cell_angle_gamma 90.00
loop_
_atom_site_label
_atom_site_type_symbol
_atom_site_fract_x
_atom_site_fract_y
_atom_site_fract_z
K1 K 0.0000 0.0000 0.0000
P1 P 0.5000 0.5000 0.5000
S1 S 0.0000 0.0000 0.5000
# final energy: -2.1576 eV per atom
# total moment: 2.00 Bohr magnetons per cell
# volume: 211 Å³/cell

6.
# KSbPS2 (PBE, relaxed)
data_KSbPS2
_space_group_name_H-M_alt 'P 4/m m m'
_space_group_IT_number 123
_space_group_name_Hall '-P 4 2'
_cell_length_a 5.2019
_cell_length_b 5.2019
_cell_length_c 5.2119
_cell_angle_alpha 90.00
_cell_angle_beta 90.00
_cell_angle_gamma 90.00
loop_
_atom_site_label
_atom_site_type_symbol
_atom_site_fract_x
_atom_site_fract_y
_atom_site_fract_z
K1 K 0.0000 0.0000 0.0000
Sb1 Sb 0.5000 0.5000 0.5000
P1 P 0.5000 0.5000 0.0000
S1 S 0.0000 0.5000 0.5000
# final energy: -3.6916 eV per atom
# total moment: 1.80 Bohr magnetons per cell
# volume: 141 Å³/cell
# polymorph energy (0 for the lowest one): 0 meV per atom

7.
# KSbP2S (PBE, relaxed)
data_KSbP2S
_space_group_name_H-M_alt 'P 4/m m m'
_space_group_IT_number 123
_space_group_name_Hall '-P 4 2'
_cell_length_a 5.2096
_cell_length_b 5.2096
_cell_length_c 5.2955
_cell_angle_alpha 90.00
_cell_angle_beta 90.00
_cell_angle_gamma 90.00
loop_
_atom_site_label
_atom_site_type_symbol
_atom_site_fract_x
_atom_site_fract_y
_atom_site_fract_z
K1 K 0.0000 0.0000 0.0000
Sb1 Sb 0.5000 0.5000 0.5000
P1 P 0.0000 0.5000 0.5000
S1 S 0.5000 0.5000 0.0000
# final energy: -3.6323 eV per atom
# total moment: 2.27 Bohr magnetons per cell
# volume: 144 Å³/cell
# polymorph energy (0 for the lowest one): 0 meV per atom

8.
# KSbPS6 (PBE, relaxed)
data_KSbPS6
_space_group_name_H-M_alt 'P 3 1 2'
_space_group_IT_number 149
_cell_length_a 6.0968
_cell_length_b 6.0968
_cell_length_c 7.5101
_cell_angle_alpha 90.00
_cell_angle_beta 90.00
_cell_angle_gamma 120.00
loop_
_space_group_symop_operation_xyz
'x,y,z'
'-y,x-y,z'
'-x+y,-x,z'
'-y,-x,-z'
'-x+y,y,-z'
'x,x-y,-z'
loop_
_atom_site_label
_atom_site_type_symbol
_atom_site_fract_x
_atom_site_fract_y
_atom_site_fract_z
K1 K 0.0000 0.0000 0.0000
Sb1 Sb 0.3333 0.6667 0.5000
P1 P 0.6667 0.3333 0.5000
S1 S 0.3880 0.0393 0.6850
# final energy: -4.0743 eV per atom
# total moment: 0.62 Bohr magnetons per cell
# volume: 242 Å³/cell

9.
# KSbPS2 (PBE, relaxed)
data_KSbPS2
_space_group_name_H-M_alt 'P 4/m m m'
_space_group_IT_number 123
_space_group_name_Hall '-P 4 2'
_cell_length_a 5.2814
_cell_length_b 5.2814
_cell_length_c 5.1779
_cell_angle_alpha 90.00
_cell_angle_beta 90.00
_cell_angle_gamma 90.00
loop_
_atom_site_label
_atom_site_type_symbol
_atom_site_fract_x
_atom_site_fract_y
_atom_site_fract_z
K1 K 0.0000 0.0000 0.0000
Sb1 Sb 0.5000 0.5000 0.5000
P1 P 0.0000 0.0000 0.5000
S1 S 0.0000 0.5000 0.0000
# final energy: -2.3525 eV per atom
# total moment: 0.93 Bohr magnetons per cell
# volume: 144 Å³/cell
# polymorph energy (0 for the lowest one): 1339 meV per atom

10.
# KSbP2S (PBE, relaxed)
data_KSbP2S
_space_group_name_H-M_alt 'P 4/m m m'
_space_group_IT_number 123
_space_group_name_Hall '-P 4 2'
_cell_length_a 5.1920
_cell_length_b 5.1920
_cell_length_c 5.2271
_cell_angle_alpha 90.00
_cell_angle_beta 90.00
_cell_angle_gamma 90.00
loop_
_atom_site_label
_atom_site_type_symbol
_atom_site_fract_x
_atom_site_fract_y
_atom_site_fract_z
K1 K 0.0000 0.0000 0.0000
Sb1 Sb 0.5000 0.5000 0.5000
P1 P 0.0000 0.5000 0.0000
S1 S 0.0000 0.0000 0.5000
# final energy: -2.3638 eV per atom
# total moment: 0.00 Bohr magnetons per cell
# volume: 141 Å³/cell
# polymorph energy (0 for the lowest one): 1268 meV per atom

11.
# KSbP2S8 (PBE, relaxed)
data_KSbP2S8
_space_group_name_H-M_alt 'R -3'
_space_group_IT_number 148
_space_group_name_Hall '-R 3'
_cell_length_a 6.0032
_cell_length_b 6.0032
_cell_length_c 29.7282
_cell_angle_alpha 90.00
_cell_angle_beta 90.00
_cell_angle_gamma 120.00
loop_
_atom_site_label
_atom_site_type_symbol
_atom_site_fract_x
_atom_site_fract_y
_atom_site_fract_z
K1 K 0.0000 0.0000 0.0000
Sb1 Sb 0.0000 0.0000 0.5000
P1 P 0.0000 0.0000 0.2403
S1 S 0.0000 0.0000 0.3071
S2 S 0.0057 0.6579 0.5539
# final energy: -4.3484 eV per atom
# total moment: 0.00 Bohr magnetons per cell
# volume: 928 Å³/cell

12.
# KScP2S8 (PBE, relaxed)
data_KScP2S8
_space_group_name_H-M_alt 'P -3'
_space_group_IT_number 147
_cell_length_a 6.0678
_cell_length_b 6.0678
_cell_length_c 9.1222
_cell_angle_alpha 90.00
_cell_angle_beta 90.00
_cell_angle_gamma 120.00
loop_
_space_group_symop_operation_xyz
'x,y,z'
'-x,-y,-z'
'-y,x-y,z'
'y,-x+y,-z'
'-x+y,-x,z'
'x-y,x,-z'
loop_
_atom_site_label
_atom_site_type_symbol
_atom_site_fract_x
_atom_site_fract_y
_atom_site_fract_z
K1 K 0.0000 0.0000 0.0000
Sc1 Sc 0.0000 0.0000 0.5000
P1 P 0.3333 0.6667 0.7270
S1 S 0.9999 0.3478 0.6669
S2 S 0.3333 0.6667 0.9505
# final energy: -4.8156 eV per atom
# total moment: 2.05 Bohr magnetons per cell
# volume: 291 Å³/cell

13.
# KP2SeS (PBE, relaxed)
data_KP2SeS
_space_group_name_H-M_alt 'P 4/m m m'
_space_group_IT_number 123
_space_group_name_Hall '-P 4 2'
_cell_length_a 4.9517
_cell_length_b 4.9517
_cell_length_c 5.1059
_cell_angle_alpha 90.00
_cell_angle_beta 90.00
_cell_angle_gamma 90.00
loop_
_atom_site_label
_atom_site_type_symbol
_atom_site_fract_x
_atom_site_fract_y
_atom_site_fract_z
K1 K 0.0000 0.0000 0.0000
P1 P 0.0000 0.5000 0.5000
Se1 Se 0.5000 0.5000 0.5000
S1 S 0.5000 0.5000 0.0000
# final energy: -3.3901 eV per atom
# total moment: 1.24 Bohr magnetons per cell
# volume: 125 Å³/cell
# polymorph energy (0 for the lowest one): 0 meV per atom

14.
# KPSeS2 (PBE, relaxed)
data_KPSeS2
_space_group_name_H-M_alt 'P 4/m m m'
_space_group_IT_number 123
_space_group_name_Hall '-P 4 2'
_cell_length_a 6.1334
_cell_length_b 6.1334
_cell_length_c 6.3307
_cell_angle_alpha 90.00
_cell_angle_beta 90.00
_cell_angle_gamma 90.00
loop_
_atom_site_label
_atom_site_type_symbol
_atom_site_fract_x
_atom_site_fract_y
_atom_site_fract_z
K1 K 0.0000 0.0000 0.0000
P1 P 0.0000 0.0000 0.5000
Se1 Se 0.5000 0.5000 0.5000
S1 S 0.0000 0.5000 0.0000
# final energy: -2.0371 eV per atom
# total moment: 8.07 Bohr magnetons per cell
# volume: 238 Å³/cell
# polymorph energy (0 for the lowest one): 1352 meV per atom

15.
# KP2SeS (PBE, relaxed)
data_KP2SeS
_space_group_name_H-M_alt 'P 4/m m m'
_space_group_IT_number 123
_space_group_name_Hall '-P 4 2'
_cell_length_a 6.4341
_cell_length_b 6.4341
_cell_length_c 5.8436
_cell_angle_alpha 90.00
_cell_angle_beta 90.00
_cell_angle_gamma 90.00
loop_
_atom_site_label
_atom_site_type_symbol
_atom_site_fract_x
_atom_site_fract_y
_atom_site_fract_z
K1 K 0.0000 0.0000 0.0000
P1 P 0.0000 0.5000 0.0000
Se1 Se 0.5000 0.5000 0.5000
S1 S 0.0000 0.0000 0.5000
# final energy: -2.0376 eV per atom
# total moment: 4.93 Bohr magnetons per cell
# volume: 242 Å³/cell
# polymorph energy (0 for the lowest one): 1353 meV per atom

16.
# KPSeS2 (PBE, relaxed)
data_KPSeS2
_space_group_name_H-M_alt 'P 4/m m m'
_space_group_IT_number 123
_space_group_name_Hall '-P 4 2'
_cell_length_a 5.0508
_cell_length_b 5.0508
_cell_length_c 4.8755
_cell_angle_alpha 90.00
_cell_angle_beta 90.00
_cell_angle_gamma 90.00
loop_
_atom_site_label
_atom_site_type_symbol
_atom_site_fract_x
_atom_site_fract_y
_atom_site_fract_z
K1 K 0.0000 0.0000 0.0000
P1 P 0.5000 0.5000 0.0000
Se1 Se 0.5000 0.5000 0.5000
S1 S 0.0000 0.5000 0.5000
# final energy: -3.3891 eV per atom
# total moment: 1.25 Bohr magnetons per cell
# volume: 124 Å³/cell
# polymorph energy (0 for the lowest one): 0 meV per atom

17.
# KSiP2S (PBE, relaxed)
data_KSiP2S
_space_group_name_H-M_alt 'P 4/m m m'
_space_group_IT_number 123
_space_group_name_Hall '-P 4 2'
_cell_length_a 5.2040
_cell_length_b 5.2040
_cell_length_c 5.2724
_cell_angle_alpha 90.00
_cell_angle_beta 90.00
_cell_angle_gamma 90.00
loop_
_atom_site_label
_atom_site_type_symbol
_atom_site_fract_x
_atom_site_fract_y
_atom_site_fract_z
K1 K 0.0000 0.0000 0.0000
Si1 Si 0.5000 0.5000 0.5000
P1 P 0.0000 0.5000 0.0000
S1 S 0.0000 0.0000 0.5000
# final energy: -2.3128 eV per atom
# total moment: 0.83 Bohr magnetons per cell
# volume: 143 Å³/cell
# polymorph energy (0 for the lowest one): 1749 meV per atom

18.
# KSiP2S8 (PBE, relaxed)
data_KSiP2S8
_space_group_name_H-M_alt 'P -3'
_space_group_IT_number 147
_cell_length_a 5.8006
_cell_length_b 5.8006
_cell_length_c 9.5762
_cell_angle_alpha 90.00
_cell_angle_beta 90.00
_cell_angle_gamma 120.00
loop_
_space_group_symop_operation_xyz
'x,y,z'
'-x,-y,-z'
'-y,x-y,z'
'y,-x+y,-z'
'-x+y,-x,z'
'x-y,x,-z'
loop_
_atom_site_label
_atom_site_type_symbol
_atom_site_fract_x
_atom_site_fract_y
_atom_site_fract_z
K1 K 0.0000 0.0000 0.0000
Si1 Si 0.0000 0.0000 0.5000
P1 P 0.3333 0.6667 0.7097
S1 S 0.0075 0.6891 0.3488
S2 S 0.3333 0.6667 0.9178
# final energy: -4.4906 eV per atom
# total moment: 0.00 Bohr magnetons per cell
# volume: 279 Å³/cell

19.
# KSiP2S (PBE, relaxed)
data_KSiP2S
_space_group_name_H-M_alt 'P 4/m m m'
_space_group_IT_number 123
_space_group_name_Hall '-P 4 2'
_cell_length_a 4.6204
_cell_length_b 4.6204
_cell_length_c 4.9549
_cell_angle_alpha 90.00
_cell_angle_beta 90.00
_cell_angle_gamma 90.00
loop_
_atom_site_label
_atom_site_type_symbol
_atom_site_fract_x
_atom_site_fract_y
_atom_site_fract_z
K1 K 0.0000 0.0000 0.0000
Si1 Si 0.5000 0.5000 0.5000
P1 P 0.0000 0.5000 0.5000
S1 S 0.5000 0.5000 0.0000
# final energy: -4.0616 eV per atom
# total moment: 0.25 Bohr magnetons per cell
# volume: 106 Å³/cell
# polymorph energy (0 for the lowest one): 0 meV per atom

20.
# K2SmP2S7 (PBE, relaxed)
data_K2SmP2S7
_space_group_name_H-M_alt 'C 1 2 1'
_space_group_IT_number 5
_cell_length_a 22.8683
_cell_length_b 6.8152
_cell_length_c 8.7520
_cell_angle_alpha 90.00
_cell_angle_beta 96.40
_cell_angle_gamma 90.00
loop_
_space_group_symop_operation_xyz
'x,y,z'
'-x,y,-z'
'x+1/2,y+1/2,z'
'-x+1/2,y+1/2,-z'
loop_
_atom_site_label
_atom_site_type_symbol
_atom_site_fract_x
_atom_site_fract_y
_atom_site_fract_z
K1 K 0.0355 0.0000 0.2889
K2 K 0.1936 0.0342 0.8716
Sm1 Sm 0.1575 0.5157 0.4597
P1 P 0.0255 0.5042 0.6168
P2 P 0.2080 0.9692 0.2883
S1 S 0.0356 0.5077 0.2348
S2 S 0.0779 0.2615 0.6142
S3 S 0.0777 0.7482 0.6174
S4 S 0.1551 0.2062 0.2293
S5 S 0.1689 0.7288 0.1799
S6 S 0.2096 0.5103 0.7760
S7 S 0.2175 0.9021 0.5207
# final energy: -4.9155 eV per atom
# total moment: 0.00 Bohr magnetons per cell
# volume: 1356 Å³/cell